1 | NaBiPCl2: optimized geometry, GGA-PBE.

Summary:
spin magnetization	0.2019	μB/atom
DOS at the Fermi energy	1.24	states/eV/cell

Cell and atoms, written as POSCAR:
```
NaBiPCl2
1.0
-0.675 -4.697 -0.757
3.561 -1.006 3.066
-3.673 -0.151 4.216
P Na Bi Cl
1 1 1 2
Direct
0.000 0.000 0.500
0.000 0.000 0.000
0.500 0.500 0.500
0.000 0.500 0.000
0.500 0.000 0.000
```


2 | NaBiPCl2: optimized geometry, GGA-PBE.

Summary:
spin magnetization	0.1345	μB/atom
DOS at the Fermi energy	3.88	states/eV/cell

Cell and atoms, written as POSCAR:
```
NaBiPCl2
1.0
-5.136 0.424 -2.148
1.580 -3.076 -4.383
-1.459 -4.463 2.607
P Na Bi Cl
1 1 1 2
Direct
0.000 0.000 0.500
0.500 0.500 0.500
0.000 0.000 0.000
0.000 0.500 0.000
0.500 0.000 0.000
```


Referenced to the most stable arrangement, the calculated values in eV/atom are 1 0.337; 2 0.000.


1 | NaBiSCl2: optimized geometry, GGA-PBE.

Summary:
spin magnetization	0.0000	μB/atom
DOS at the Fermi energy	0.74	states/eV/cell

Cell and atoms, written as POSCAR:
```
NaBiSCl2
1.0
5.516 0.000 0.000
0.000 5.516 0.000
0.000 0.000 5.343
Na S Bi Cl
1 1 1 2
Direct
0.500 0.500 0.500
0.000 0.000 0.500
0.000 0.000 0.000
0.000 0.500 0.000
0.500 0.000 0.000
```


2 | NaBiSCl2: optimized geometry, GGA-PBE.

Summary:
spin magnetization	0.0000	μB/atom
DOS at the Fermi energy	2.76	states/eV/cell

Cell and atoms, written as POSCAR:
```
NaBiSCl2
1.0
4.778 0.000 0.000
0.000 4.778 0.000
0.000 0.000 5.344
Na S Bi Cl
1 1 1 2
Direct
0.000 0.000 0.000
0.000 0.000 0.500
0.500 0.500 0.500
0.000 0.500 0.000
0.500 0.000 0.000
```


Referenced to the most stable arrangement, the calculated values in eV/atom are 1 0.000; 2 0.496.


1 | NbBi2Cl: optimized geometry, GGA-PBE.

Summary:
spin magnetization	0.0000	μB/atom
DOS at the Fermi energy	4.22	states/eV/cell

Cell and atoms, written as POSCAR:
```
NbBi2Cl
1.0
-2.587 5.671 2.017
-5.587 -1.445 -3.103
-6.510 -1.071 5.303
Nb Bi Cl
2 4 2
Direct
0.000 0.000 0.000
0.750 0.250 0.500
0.680 0.125 0.250
0.070 0.625 0.250
0.375 0.320 0.750
0.875 0.930 0.750
0.500 0.500 0.000
0.250 0.750 0.500
```


2 | NbBi2Cl: optimized geometry, GGA-PBE.

Summary:
spin magnetization	0.0000	μB/atom
DOS at the Fermi energy	2.56	states/eV/cell

Cell and atoms, written as POSCAR:
```
NbBi2Cl
1.0
0.000 3.678 3.678
3.678 0.000 3.678
3.678 3.678 0.000
Nb Bi Cl
1 2 1
Direct
0.500 0.500 0.500
0.250 0.250 0.250
0.750 0.750 0.750
0.000 0.000 0.000
```


Referenced to the most stable arrangement, the calculated values in eV/atom are 1 0.032; 2 0.000.


1 | NbBiS2Cl: optimized geometry, GGA-PBE.

Summary:
spin magnetization	0.0000	μB/atom
DOS at the Fermi energy	5.42	states/eV/cell

Cell and atoms, written as POSCAR:
```
NbBiS2Cl
1.0
-0.676 4.792 0.630
-4.344 -0.324 -2.199
-2.097 -0.857 4.269
S Nb Bi Cl
2 1 1 1
Direct
0.000 0.500 0.000
0.500 0.000 0.000
0.000 0.000 0.000
0.500 0.500 0.500
0.000 0.000 0.500
```


2 | NbBiS2Cl: optimized geometry, GGA-PBE.

Summary:
spin magnetization	0.6172	μB/atom
DOS at the Fermi energy	5.30	states/eV/cell

Cell and atoms, written as POSCAR:
```
NbBiS2Cl
1.0
-2.188 4.341 -2.167
-0.386 -2.526 -4.669
-4.673 -1.703 1.308
S Nb Bi Cl
2 1 1 1
Direct
0.000 0.500 0.000
0.500 0.000 0.000
0.500 0.500 0.500
0.000 0.000 0.000
0.000 0.000 0.500
```


Referenced to the most stable arrangement, the calculated values in eV/atom are 1 0.000; 2 0.960.


1 | NbBiSCl2: optimized geometry, GGA-PBE.

Summary:
spin magnetization	0.1792	μB/atom
DOS at the Fermi energy	5.87	states/eV/cell

Cell and atoms, written as POSCAR:
```
NbBiSCl2
1.0
-2.273 4.042 1.678
0.121 -1.832 4.577
4.337 2.132 0.738
S Nb Bi Cl
1 1 1 2
Direct
0.000 0.000 0.500
0.000 0.000 0.000
0.500 0.500 0.500
0.000 0.500 0.000
0.500 0.000 0.000
```


2 | NbBiSCl2: optimized geometry, GGA-PBE.

Summary:
spin magnetization	0.7696	μB/atom
DOS at the Fermi energy	6.62	states/eV/cell

Cell and atoms, written as POSCAR:
```
NbBiSCl2
1.0
5.345 0.000 0.000
0.000 5.345 0.000
0.000 0.000 5.456
S Nb Bi Cl
1 1 1 2
Direct
0.000 0.000 0.500
0.500 0.500 0.500
0.000 0.000 0.000
0.000 0.500 0.000
0.500 0.000 0.000
```


Referenced to the most stable arrangement, the calculated values in eV/atom are 1 0.000; 2 0.776.


1 | SiNi2BiCl: optimized geometry, GGA-PBE.

Summary:
spin magnetization	0.0000	μB/atom
DOS at the Fermi energy	2.59	states/eV/cell

Cell and atoms, written as POSCAR:
```
SiNi2BiCl
1.0
4.423 0.000 0.000
0.000 4.963 0.000
0.000 0.000 4.423
Ni Si Bi Cl
2 1 1 1
Direct
0.000 0.000 0.500
0.500 0.000 0.000
0.000 0.000 0.000
0.500 0.500 0.500
0.000 0.500 0.000
```


2 | SiNi2BiCl: optimized geometry, GGA-PBE.

Summary:
spin magnetization	0.0000	μB/atom
DOS at the Fermi energy	4.08	states/eV/cell

Cell and atoms, written as POSCAR:
```
SiNi2BiCl
1.0
4.169 0.000 0.000
0.000 6.000 0.000
0.000 0.000 4.169
Ni Si Bi Cl
2 1 1 1
Direct
0.000 0.000 0.500
0.500 0.000 0.000
0.500 0.500 0.500
0.000 0.500 0.000
0.000 0.000 0.000
```


Referenced to the most stable arrangement, the calculated values in eV/atom are 1 0.000; 2 0.382.